The following is a DFT calculation (PBE) of CeSnH6Ru2 after structural relaxation.

Cell and atoms, written as POSCAR:
```
CeSnH6Ru2
1.0
-1.084 -2.818 -3.404
2.534 -0.084 -3.779
3.715 -4.935 -0.139
H Ce Ru Sn
6 1 2 1
direct
0.561 0.036 0.841
0.439 0.439 0.159
0.964 0.439 0.159
0.561 0.561 0.841
0.439 0.964 0.159
0.036 0.561 0.841
0.000 0.000 0.000
0.785 0.785 0.646
0.215 0.215 0.354
0.500 0.500 0.500
```

## Properties
Uncorrected energy   -5.1331 eV per atom
Calculated density   7.7 g cm⁻³
Space-group type   No. 166
M_tot   0.23 μB per formula unit